Arrangement A

Compound: Al2PPb
Source: the Alexandria database
Functional: PBE-GGA
Structure: relaxed

Cell lengths 4.029, 4.029, 10.204 Å; angles 90.00, 90.00, 90.00 degrees
Space group I-4m2 (No. 119)
Unique sites:
1 Al 0.000 0.000 0.000 x2
2 Al 0.000 0.500 0.250 x2
3 P 0.000 0.500 0.750 x2
4 Pb 0.000 0.000 0.500 x2

=====

Arrangement B

Compound: Al2PPb
Source: the Alexandria database
Functional: PBE-GGA
Structure: relaxed

Cell lengths 4.655, 4.655, 3.788 Å; angles 90.00, 90.00, 90.00 degrees
Space group P4/mmm (No. 123)
Unique sites:
1 Al 0.000 0.500 0.000 x2
2 P 0.000 0.000 0.500 x1
3 Pb 0.500 0.500 0.500 x1

=====

Energy ordering: arrangement A at the bottom, the next structure 0.017 eV/atom above.

=====

Arrangement A

Compound: Al3PPb
Source: the Alexandria database
Functional: PBE-GGA
Structure: relaxed

Cell lengths 4.787, 4.787, 4.787 Å; angles 90.00, 90.00, 90.00 degrees
Space group Pm-3m (No. 221)
Unique sites:
1 Al 0.000 0.000 0.500 x3
2 P 0.000 0.000 0.000 x1
3 Pb 0.500 0.500 0.500 x1

=====

Arrangement B

Compound: Al3PPb
Source: the Alexandria database
Functional: PBE-GGA
Structure: relaxed

Cell lengths 5.274, 5.274, 5.274 Å; angles 90.00, 90.00, 90.00 degrees
Space group Pm-3m (No. 221)
Unique sites:
1 Al 0.000 0.000 0.500 x3
2 P 0.500 0.500 0.500 x1
3 Pb 0.000 0.000 0.000 x1

=====

Energy ordering: arrangement A at the bottom, the next structure 0.922 eV/atom above.

=====

Arrangement A

Compound: AlP2PbS
Source: the Alexandria database
Functional: PBE-GGA
Structure: relaxed

Cell lengths 4.821, 4.821, 5.081 Å; angles 90.00, 90.00, 90.00 degrees
Space group P4/mmm (No. 123)
Unique sites:
1 Al 0.000 0.000 0.000 x1
2 P 0.000 0.500 0.000 x2
3 Pb 0.500 0.500 0.500 x1
4 S 0.000 0.000 0.500 x1

=====

Arrangement B

Compound: AlP2PbS
Source: the Alexandria database
Functional: PBE-GGA
Structure: relaxed

Cell lengths 5.256, 5.256, 5.230 Å; angles 90.00, 90.00, 90.00 degrees
Space group P4/mmm (No. 123)
Unique sites:
1 Al 0.000 0.000 0.000 x1
2 P 0.000 0.500 0.500 x2
3 Pb 0.500 0.500 0.500 x1
4 S 0.500 0.500 0.000 x1

=====

Energy ordering: arrangement A at the bottom, the next structure 0.905 eV/atom above.

=====

Arrangement A

Compound: Al3PPd
Source: the Alexandria database
Functional: PBE-GGA
Structure: relaxed

Cell lengths 4.606, 4.606, 4.606 Å; angles 90.00, 90.00, 90.00 degrees
Space group Pm-3m (No. 221)
Unique sites:
1 Al 0.000 0.000 0.500 x3
2 P 0.000 0.000 0.000 x1
3 Pd 0.500 0.500 0.500 x1

=====

Arrangement B

Compound: Al3PPd
Source: the Alexandria database
Functional: PBE-GGA
Structure: relaxed

Cell lengths 4.694, 4.694, 4.694 Å; angles 90.00, 90.00, 90.00 degrees
Space group Pm-3m (No. 221)
Unique sites:
1 Al 0.000 0.000 0.500 x3
2 P 0.500 0.500 0.500 x1
3 Pd 0.000 0.000 0.000 x1

=====

Energy ordering: arrangement B at the bottom, the next structure 0.206 eV/atom above.

=====

Arrangement A

Compound: AlP2Pd8
Source: the Alexandria database
Functional: PBE-GGA
Structure: relaxed

Cell lengths 3.597, 7.196, 13.002 Å; angles 90.00, 90.00, 90.00 degrees
Space group Immm (No. 71)
Unique sites:
1 Al 0.000 0.000 0.000 x2
2 P 0.000 0.000 0.354 x4
3 Pd 0.000 0.204 0.500 x4
4 Pd 0.000 0.296 0.170 x8
5 Pd 0.000 0.500 0.360 x4

=====

Arrangement B

Compound: AlP2Pd8
Source: the Alexandria database
Functional: PBE-GGA
Structure: relaxed

Cell lengths 7.320, 10.711, 4.378 Å; angles 90.00, 105.18, 90.00 degrees
Space group C2/m (No. 12)
Unique sites:
1 Al 0.000 0.000 0.000 x2
2 P 0.000 0.322 0.500 x4
3 Pd 0.000 0.240 0.000 x4
4 Pd 0.127 0.500 0.817 x4
5 Pd 0.195 0.129 0.591 x8

=====

Energy ordering: arrangement B at the bottom, the next structure 0.040 eV/atom above.

=====

Arrangement A

Compound: PmAlP2
Source: the Alexandria database
Functional: PBE-GGA
Structure: relaxed

Cell lengths 4.4707, 4.4707, 21.3662 Å; angles 90.00, 90.00, 120.00 degrees
Space group R-3m (No. 166, hexagonal axes)
Unique sites:
1 Pm 0.0000 0.0000 0.0000 x3
2 Al 0.0000 0.0000 0.5000 x3
3 P 0.0000 0.0000 0.3979 x6

=====

Arrangement B

Compound: PmAlP2
Source: the Alexandria database
Functional: PBE-GGA
Structure: relaxed

Cell lengths 4.555, 4.555, 3.683 Å; angles 90.00, 90.00, 90.00 degrees
Space group P4/mmm (No. 123)
Unique sites:
1 Pm 0.000 0.000 0.000 x1
2 Al 0.500 0.500 0.000 x1
3 P 0.000 0.500 0.500 x2

=====

Energy ordering: arrangement B at the bottom, the next structure 0.089 eV/atom above.

=====

Arrangement A

Compound: Al2PPt2
Source: the Alexandria database
Functional: PBE-GGA
Structure: relaxed

Cell lengths 7.446, 7.446, 2.798 Å; angles 90.00, 90.00, 90.00 degrees
Space group P4/mbm (No. 127)
Unique sites:
1 Al 0.152 0.348 0.000 x4
2 P 0.000 0.000 0.500 x2
3 Pt 0.145 0.645 0.500 x4

=====

Arrangement B

Compound: Al2PPt2
Source: the Alexandria database
Functional: PBE-GGA
Structure: relaxed

Cell lengths 3.776, 3.776, 11.808 Å; angles 90.00, 90.00, 90.00 degrees
Space group I4/mmm (No. 139)
Unique sites:
1 Al 0.000 0.500 0.250 x4
2 P 0.000 0.000 0.000 x2
3 Pt 0.000 0.000 0.386 x4

=====

Energy ordering: arrangement A at the bottom, the next structure 0.196 eV/atom above.

=====

Arrangement A

Compound: RbAlP3
Source: the Alexandria database
Functional: PBE-GGA
Structure: relaxed

Cell lengths 5.455, 5.455, 5.455 Å; angles 90.00, 90.00, 90.00 degrees
Space group Pm-3m (No. 221)
Unique sites:
1 Rb 0.000 0.000 0.000 x1
2 Al 0.500 0.500 0.500 x1
3 P 0.000 0.000 0.500 x3

=====

Arrangement B

Compound: RbAlP3
Source: the Alexandria database
Functional: PBE-GGA
Structure: relaxed

Cell lengths 4.859, 4.859, 4.859 Å; angles 90.00, 90.00, 90.00 degrees
Space group Pm-3m (No. 221)
Unique sites:
1 Rb 0.000 0.000 0.000 x1
2 Al 0.500 0.500 0.500 x1
3 P 0.000 0.500 0.500 x3

=====

Energy ordering: arrangement B at the bottom, the next structure 1.738 eV/atom above.

=====

Arrangement A

Compound: RbAlPS2
Source: the Alexandria database
Functional: PBE-GGA
Structure: relaxed

Cell lengths 4.904, 4.904, 4.760 Å; angles 90.00, 90.00, 90.00 degrees
Space group P4/mmm (No. 123)
Unique sites:
1 Rb 0.000 0.000 0.000 x1
2 Al 0.500 0.500 0.500 x1
3 P 0.500 0.500 0.000 x1
4 S 0.000 0.500 0.500 x2

=====

Arrangement B

Compound: RbAlPS2
Source: the Alexandria database
Functional: PBE-GGA
Structure: relaxed

Cell lengths 5.977, 5.977, 6.242 Å; angles 90.00, 90.00, 90.00 degrees
Space group P4/mmm (No. 123)
Unique sites:
1 Rb 0.000 0.000 0.000 x1
2 Al 0.500 0.500 0.500 x1
3 P 0.000 0.000 0.500 x1
4 S 0.000 0.500 0.000 x2

=====

Energy ordering: arrangement A at the bottom, the next structure 1.621 eV/atom above.

=====

Arrangement A

Compound: RbAlP2S
Source: the Alexandria database
Functional: PBE-GGA
Structure: relaxed

Cell lengths 5.666, 5.666, 5.726 Å; angles 90.00, 90.00, 90.00 degrees
Space group P4/mmm (No. 123)
Unique sites:
1 Rb 0.000 0.000 0.000 x1
2 Al 0.500 0.500 0.500 x1
3 P 0.000 0.500 0.000 x2
4 S 0.000 0.000 0.500 x1

=====

Arrangement B

Compound: RbAlP2S
Source: the Alexandria database
Functional: PBE-GGA
Structure: relaxed

Cell lengths 4.809, 4.809, 5.006 Å; angles 90.00, 90.00, 90.00 degrees
Space group P4/mmm (No. 123)
Unique sites:
1 Rb 0.000 0.000 0.000 x1
2 Al 0.500 0.500 0.500 x1
3 P 0.000 0.500 0.500 x2
4 S 0.500 0.500 0.000 x1

=====

Energy ordering: arrangement B at the bottom, the next structure 1.699 eV/atom above.

=====

Arrangement A

Compound: AlRe2P
Source: the Alexandria database
Functional: PBE-GGA
Structure: relaxed

Cell lengths 5.649, 7.976, 2.866 Å; angles 90.00, 116.79, 90.00 degrees
Space group C2/m (No. 12)
Unique sites:
1 Al 0.000 0.000 0.000 x2
2 Re 0.250 0.250 0.500 x4
3 P 0.000 0.500 0.000 x2

=====

Arrangement B

Compound: AlRe2P
Source: the Alexandria database
Functional: PBE-GGA
Structure: relaxed

Cell lengths 6.012, 6.012, 6.012 Å; angles 90.00, 90.00, 90.00 degrees
Space group Fm-3m (No. 225)
Unique sites:
1 Al 0.000 0.000 0.000 x4
2 Re 0.250 0.250 0.250 x8
3 P 0.000 0.000 0.500 x4

=====

Energy ordering: arrangement B at the bottom, the next structure 0.199 eV/atom above.

=====

Arrangement A

Compound: AlRe2P
Source: the Alexandria database
Functional: PBE-GGA
Structure: relaxed

Cell lengths 2.8689, 2.8689, 24.0599 Å; angles 90.00, 90.00, 120.00 degrees
Space group R-3m (No. 166, hexagonal axes)
Unique sites:
1 Al 0.0000 0.0000 0.0000 x3
2 Re 0.0000 0.0000 0.2421 x6
3 P 0.0000 0.0000 0.5000 x3

=====

Arrangement B

Compound: AlRe2P
Source: the Alexandria database
Functional: PBE-GGA
Structure: relaxed

Cell lengths 2.956, 2.956, 6.304 Å; angles 90.00, 90.00, 90.00 degrees
Space group P4/mmm (No. 123)
Unique sites:
1 Al 0.000 0.000 0.000 x1
2 Re 0.500 0.500 0.277 x2
3 P 0.000 0.000 0.500 x1

=====

Energy ordering: arrangement B at the bottom, the next structure 0.066 eV/atom above.

=====

Arrangement A

Compound: AlRePS2
Source: the Alexandria database
Functional: PBE-GGA
Structure: relaxed

Cell lengths 4.494, 4.494, 4.646 Å; angles 90.00, 90.00, 90.00 degrees
Space group P4/mmm (No. 123)
Unique sites:
1 Al 0.000 0.000 0.000 x1
2 Re 0.500 0.500 0.500 x1
3 P 0.000 0.000 0.500 x1
4 S 0.000 0.500 0.000 x2

=====

Arrangement B

Compound: AlRePS2
Source: the Alexandria database
Functional: PBE-GGA
Structure: relaxed

Cell lengths 4.704, 4.704, 4.634 Å; angles 90.00, 90.00, 90.00 degrees
Space group P4/mmm (No. 123)
Unique sites:
1 Al 0.000 0.000 0.000 x1
2 Re 0.500 0.500 0.500 x1
3 P 0.500 0.500 0.000 x1
4 S 0.000 0.500 0.500 x2

=====

Energy ordering: arrangement B at the bottom, the next structure 0.607 eV/atom above.

=====

Arrangement A

Compound: AlPRu2
Source: the Alexandria database
Functional: PBE-GGA
Structure: relaxed

Cell lengths 2.8878, 2.8878, 23.4669 Å; angles 90.00, 90.00, 120.00 degrees
Space group R3m (No. 160, hexagonal axes)
Unique sites:
1 Al 0.0000 0.0000 0.0000 x3
2 P 0.0000 0.0000 0.2464 x3
3 Ru 0.0000 0.0000 0.5087 x3
4 Ru 0.0000 0.0000 0.7481 x3

=====

Arrangement B

Compound: AlPRu2
Source: the Alexandria database
Functional: PBE-GGA
Structure: relaxed

Cell lengths 6.094, 6.094, 6.094 Å; angles 90.00, 90.00, 90.00 degrees
Space group F-43m (No. 216)
Unique sites:
1 Al 0.000 0.000 0.000 x4
2 P 0.250 0.250 0.750 x4
3 Ru 0.000 0.000 0.500 x4
4 Ru 0.250 0.250 0.250 x4

=====

Energy ordering: arrangement A at the bottom, the next structure 0.269 eV/atom above.